An optimized crystal structure of NaSmHgCl6. Source: Alexandria, functional PBE.

ΔE_f (raw)   -36.52 kcal/mol of atoms

Cell: 6.9156 6.9156 12.7183 Å, 90.00 90.00 120.00°
Space group P-31c (No. 163)
Inequivalent atoms, fractional coordinates:
1 Na 0.0000 0.0000 0.0000 [2 per cell]
2 Sm 0.3333 0.6667 0.2500 [2 per cell]
3 Hg 0.3333 0.6667 0.7500 [2 per cell]
4 Cl 0.9999 0.3501 0.1292 [12 per cell]